Computed, not measured: a relaxed MnIrPbO6 crystal at the PBE with a Hubbard U level of DFT.

a = 5.1771 Å, b = 5.1771 Å, c = 10.2042 Å
α = 90.00°, β = 90.00°, γ = 120.00°
Positions (direct):
Mn  0.3333  0.6667  0.2500
Mn  0.6667  0.3333  0.7500
Ir  0.3333  0.6667  0.7500
Ir  0.6667  0.3333  0.2500
Pb  0.0000  0.0000  0.0000
Pb  0.0000  0.0000  0.5000
O  0.0029  0.3741  0.1454
O  0.0029  0.6288  0.3546
O  0.3712  0.3741  0.3546
O  0.3712  0.9971  0.1454
O  0.3741  0.0029  0.6454
O  0.3741  0.3712  0.8546
O  0.6259  0.6288  0.1454
O  0.6259  0.9971  0.3546
O  0.6288  0.0029  0.8546
O  0.6288  0.6259  0.6454
O  0.9971  0.3712  0.6454
O  0.9971  0.6259  0.8546

* V: 236.9 Å³/cell
* uncorrected energy: -58.7 eV/f.u.

---

Computed, not measured: a relaxed MnIrPb2O6 crystal at the PBE with a Hubbard U level of DFT.

a = 10.0541 Å, b = 10.0541 Å, c = 10.0541 Å
α = 33.55°, β = 33.55°, γ = 33.55°
Positions (direct):
Mn  0.0980  0.0980  0.0980
Mn  0.9020  0.9020  0.9020
Ir  0.0000  0.0000  0.0000
Ir  0.5000  0.5000  0.5000
Pb  0.2312  0.2312  0.2312
Pb  0.3769  0.3769  0.3769
Pb  0.6231  0.6231  0.6231
Pb  0.7688  0.7688  0.7688
O  0.1157  0.1157  0.6432
O  0.1157  0.6432  0.1157
O  0.2373  0.6947  0.6947
O  0.3053  0.3053  0.7627
O  0.3053  0.7627  0.3053
O  0.3568  0.8843  0.8843
O  0.6432  0.1157  0.1157
O  0.6947  0.2373  0.6947
O  0.6947  0.6947  0.2373
O  0.7627  0.3053  0.3053
O  0.8843  0.3568  0.8843
O  0.8843  0.8843  0.3568

* V: 276.4 Å³/cell
* uncorrected energy: -63.3 eV/f.u.

---

Computed, not measured: a relaxed MnIrPb2O8 crystal at the PBE with a Hubbard U level of DFT.

a = 4.7900 Å, b = 6.7516 Å, c = 4.8128 Å
α = 90.00°, β = 91.15°, γ = 90.00°
Positions (direct):
Mn  0.0000  0.0000  0.0000
Ir  0.0000  0.5000  0.0000
Pb  0.5000  0.2471  0.5000
Pb  0.5000  0.7529  0.5000
O  0.1838  0.2669  0.8281
O  0.1838  0.7331  0.8281
O  0.2790  0.5000  0.2940
O  0.2838  0.0000  0.2935
O  0.7162  0.0000  0.7065
O  0.7210  0.5000  0.7060
O  0.8162  0.2669  0.1719
O  0.8162  0.7331  0.1719

* V: 155.6 Å³/cell
* uncorrected energy: -74.2 eV/f.u.

---

Computed, not measured: a relaxed MnIr2PbO8 crystal at the PBE with a Hubbard U level of DFT.

a = 5.8268 Å, b = 5.8268 Å, c = 5.9863 Å
α = 90.00°, β = 90.00°, γ = 120.00°
Positions (direct):
Mn  0.0000  0.0000  0.0000
Ir  0.3333  0.6667  0.4527
Ir  0.6667  0.3333  0.5473
Pb  0.0000  0.0000  0.5000
O  0.0631  0.3922  0.6472
O  0.3291  0.9369  0.6472
O  0.3333  0.6667  0.1500
O  0.3922  0.3291  0.3528
O  0.6078  0.6709  0.6472
O  0.6667  0.3333  0.8500
O  0.6709  0.0631  0.3528
O  0.9369  0.6078  0.3528

* V: 176.0 Å³/cell
* uncorrected energy: -72.1 eV/f.u.

---

Computed, not measured: a relaxed MnIrPdO crystal at the PBE with a Hubbard U level of DFT.

a = 2.8876 Å, b = 2.8876 Å, c = 7.5189 Å
α = 90.00°, β = 90.00°, γ = 120.00°
Positions (direct):
Mn  0.0000  0.0000  0.0000
Ir  0.3333  0.6667  0.2821
Pd  0.6667  0.3333  0.5741
O  0.6667  0.3333  0.8542

* ΔE to the lowest computed polymorph: 0.53 kJ per mole of atoms
* V: 54.3 Å³/cell

---

Computed, not measured: a relaxed MnIrPdO crystal at the PBE with a Hubbard U level of DFT.

a = 7.0208 Å, b = 7.0208 Å, c = 7.0208 Å
α = 156.58°, β = 156.17°, γ = 33.66°
Positions (direct):
Mn  0.0000  0.0000  0.0000
Ir  0.6397  0.6397  0.0000
Pd  0.2765  0.2765  0.0000
O  0.8963  0.3963  0.5000

* ΔE to the lowest computed polymorph: 14.74 kJ per mole of atoms
* V: 55.5 Å³/cell